MnBiAs2Pt (GGA-PBE, relaxed); DOS(E_F) = 6.18 states/eV/cell; ΔE_f = 1.880 eV/atom; magnetization = 0.024 μB per formula unit
1.0
-1.9072 -3.9908 2.9735
0.5277 -3.0249 -3.7214
4.9425 -1.1459 1.6323
Mn Pt As Bi
1 1 2 1
direct
0.0000 0.5000 0.0000
0.5000 0.5000 0.5000
0.5000 0.0000 0.0000
0.0000 0.0000 0.5000
0.0000 0.0000 0.0000